Crystalline RbSi2Rh at its relaxed geometry. Source: Alexandria via LeMat-Bulk, functional PBEsol.

Calculated values
VASP energy ... -72.63 eV for the cell shown

Lattice parameters (Å, degrees): 6.5401 6.5401 6.5401 90.00 90.00 90.00
Sites, in units of the cell vectors:
Rb 0.0000 0.0000 0.0000
Rb 0.0000 0.5000 0.5000
Rb 0.5000 0.0000 0.5000
Rb 0.5000 0.5000 0.0000
Si 0.2500 0.2500 0.2500
Si 0.2500 0.2500 0.7500
Si 0.2500 0.7500 0.2500
Si 0.2500 0.7500 0.7500
Si 0.7500 0.2500 0.2500
Si 0.7500 0.2500 0.7500
Si 0.7500 0.7500 0.2500
Si 0.7500 0.7500 0.7500
Rh 0.0000 0.0000 0.5000
Rh 0.0000 0.5000 0.0000
Rh 0.5000 0.0000 0.0000
Rh 0.5000 0.5000 0.5000

Crystalline CaZn at its relaxed geometry. Source: Alexandria via LeMat-Bulk, functional PBEsol.

Calculated values
Formation energy ... -153 meV/atom

Lattice parameters (Å, degrees): 5.1115 5.1115 4.6668 90.00 90.00 120.00
Sites, in units of the cell vectors:
Ca 0.3333 0.6667 0.2500
Ca 0.6667 0.3333 0.7500
Zn 0.0000 0.0000 0.0000
Zn 0.0000 0.0000 0.5000

Crystalline CsC3 at its relaxed geometry. Source: Alexandria via LeMat-Bulk, functional PBEsol.

Calculated values
Formation energy ... 2219 meV/atom

Lattice parameters (Å, degrees): 3.3774 3.3774 6.3633 90.00 90.00 120.00
Sites, in units of the cell vectors:
Cs 0.0000 0.0000 0.0000
C 0.0000 0.0000 0.5000
C 0.6667 0.3333 0.3933
C 0.6667 0.3333 0.6067

Crystalline TaZnIn2 at its relaxed geometry. Source: Alexandria via LeMat-Bulk, functional PBEsol.

Calculated values
Formation energy ... 167 meV/atom

Lattice parameters (Å, degrees): 2.9259 2.9259 9.1729 90.00 90.00 90.00
Sites, in units of the cell vectors:
Ta 0.0000 0.0000 0.0000
Zn 0.5000 0.5000 0.7959
In 0.0000 0.0000 0.5468
In 0.5000 0.5000 0.2419

Crystalline CaMgS2 at its relaxed geometry. Source: Alexandria via LeMat-Bulk, functional PBEsol.

Calculated values
VASP energy ... -76.71 eV for the cell shown

Lattice parameters (Å, degrees): 6.6754 6.6754 8.2885 90.00 90.00 90.00
Sites, in units of the cell vectors:
Ca 0.0000 0.0000 0.0000
Ca 0.0000 0.5000 0.2500
Ca 0.5000 0.0000 0.7500
Ca 0.5000 0.5000 0.5000
Mg 0.0000 0.0000 0.5000
Mg 0.0000 0.5000 0.7500
Mg 0.5000 0.0000 0.2500
Mg 0.5000 0.5000 0.0000
S 0.2176 0.2500 0.6250
S 0.2500 0.7176 0.8750
S 0.2500 0.7824 0.3750
S 0.2824 0.2500 0.1250
S 0.7176 0.7500 0.1250
S 0.7500 0.2176 0.3750
S 0.7500 0.2824 0.8750
S 0.7824 0.7500 0.6250

Crystalline Sc3Se at its relaxed geometry. Source: Alexandria via LeMat-Bulk, functional PBEsol.

Calculated values
VASP energy ... -75.96 eV for the cell shown

Lattice parameters (Å, degrees): 9.3441 9.3441 3.3172 90.00 90.00 120.00
Sites, in units of the cell vectors:
Sc 0.0000 0.5000 0.0000
Sc 0.1667 0.3333 0.3333
Sc 0.1667 0.8333 0.3333
Sc 0.3333 0.1667 0.6667
Sc 0.5000 0.0000 0.0000
Sc 0.5000 0.5000 0.0000
Sc 0.6667 0.8333 0.3333
Sc 0.8333 0.1667 0.6667
Sc 0.8333 0.6667 0.6667
Se 0.0000 0.0000 0.0000
Se 0.3333 0.6667 0.6667
Se 0.6667 0.3333 0.3333

Crystalline TcTe2W at its relaxed geometry. Source: Alexandria via LeMat-Bulk, functional PBEsol.

Calculated values
VASP energy ... -120.90 eV for the cell shown

Lattice parameters (Å, degrees): 6.5577 6.5577 6.5577 90.00 90.00 90.00
Sites, in units of the cell vectors:
Tc 0.0000 0.0000 0.0000
Tc 0.0000 0.5000 0.5000
Tc 0.5000 0.0000 0.5000
Tc 0.5000 0.5000 0.0000
Te 0.2500 0.2500 0.2500
Te 0.2500 0.2500 0.7500
Te 0.2500 0.7500 0.2500
Te 0.2500 0.7500 0.7500
Te 0.7500 0.2500 0.2500
Te 0.7500 0.2500 0.7500
Te 0.7500 0.7500 0.2500
Te 0.7500 0.7500 0.7500
W 0.0000 0.0000 0.5000
W 0.0000 0.5000 0.0000
W 0.5000 0.0000 0.0000
W 0.5000 0.5000 0.5000

Crystalline ZrCoO3 at its relaxed geometry. Source: Alexandria via LeMat-Bulk, functional PBEsol.

Calculated values
VASP energy ... -86.89 eV for the cell shown

Lattice parameters (Å, degrees): 5.5448 5.5448 5.5448 57.09 57.09 57.09
Sites, in units of the cell vectors:
Zr 0.1417 0.1417 0.1417
Zr 0.8583 0.8583 0.8583
Co 0.3514 0.3514 0.3514
Co 0.6486 0.6486 0.6486
O 0.0515 0.4492 0.7496
O 0.2504 0.9485 0.5508
O 0.4492 0.7496 0.0515
O 0.5508 0.2504 0.9485
O 0.7496 0.0515 0.4492
O 0.9485 0.5508 0.2504

no.,ρ (g/cm³)
1,5.81
2,3.32
3,4.46
4,10.07
5,2.31
6,4.25
7,12.65
8,5.85